Record 1
Here is crystalline CaSi2Pd at its relaxed geometry from the Alexandria database. Energies are from GGA-PBE.

The structure belongs to space group Fm-3m (No. 225); the cell edges are 6.561, 6.561 and 6.561 Å and the angles 90.00°, 90.00° and 90.00°. The inequivalent atoms are Ca at (0.000, 0.000, 0.000), Si at (0.250, 0.250, 0.250) and Pd at (0.000, 0.000, 0.500).

Its density of states at the Fermi level is 0.36 states/eV/cell. As for the formation energy (no corrections): -163 meV per atom. The value obtained for the size of the total moment is 0.000 μB/atom.



Record 2
Here is crystalline CaSi2Pd at its relaxed geometry from the Alexandria database. Energies are from GGA-PBE.

The structure belongs to space group Pnma (No. 62); the cell edges are 13.679, 4.143 and 10.662 Å and the angles 90.00°, 90.00° and 90.00°. The inequivalent atoms are Ca at (0.053, 0.250, 0.247), Ca at (0.202, 0.750, 0.513), Si at (0.028, 0.250, 0.539), Si at (0.114, 0.250, 0.729), Si at (0.124, 0.750, 0.033), Si at (0.213, 0.750, 0.227), Pd at (0.060, 0.250, 0.945) and Pd at (0.198, 0.750, 0.806).

Its density of states at the Fermi level is 15.48 states/eV/cell. As for the formation energy (no corrections): -626 meV per atom. The value obtained for the size of the total moment is 0.000 μB/atom.



Record 3
Here is crystalline Ca4Si3SnPd12 at its relaxed geometry from the Alexandria database. Energies are from GGA-PBE.

The structure belongs to space group Im-3m (No. 229); the cell edges are 9.418, 9.418 and 9.418 Å and the angles 90.00°, 90.00° and 90.00°. The inequivalent atoms are Ca at (0.250, 0.250, 0.250), Si at (0.000, 0.000, 0.500), Sn at (0.000, 0.000, 0.000), Pd at (0.000, 0.000, 0.266) and Pd at (0.000, 0.250, 0.500).

Its density of states at the Fermi level is 20.61 states/eV/cell. As for the formation energy (no corrections): -483 meV per atom. The value obtained for the size of the total moment is 0.000 μB/atom.



Record 4
Here is crystalline Ca2SiSnPd6 at its relaxed geometry from the Alexandria database. Energies are from GGA-PBE.

The structure belongs to space group C2/m (No. 12); the cell edges are 11.359, 5.603 and 7.891 Å and the angles 90.00°, 129.81° and 90.00°. The inequivalent atoms are Ca at (0.004, 0.000, 0.251), Si at (0.000, 0.500, 0.500), Sn at (0.000, 0.500, 0.000), Pd at (0.171, 0.500, 0.427) and Pd at (0.234, 0.255, 0.786).

Its density of states at the Fermi level is 10.02 states/eV/cell. As for the formation energy (no corrections): -607 meV per atom. The value obtained for the size of the total moment is 0.000 μB/atom.